1.
This record from the Alexandria database describes a relaxed structure of LiMnB4. The functional is PBE.

The value obtained for the total moment is 2.6 Bohr magnetons per cell. The calculation puts the formation energy at 4.50 kJ per mole of atoms. The value obtained for the total energy is -6.25 eV per atom.

The structure belongs to space group Imm2 (No. 44); the cell edges are 3.029, 3.240 and 10.503 Å and the angles 90.00°, 90.00° and 90.00°. Symmetry generates all atoms from Li at (0.000, 0.000, 0.000), Mn at (0.000, 0.500, 0.284), B at (0.000, 0.000, 0.402), B at (0.000, 0.250, 0.658) and B at (0.000, 0.500, 0.827).

=====

2.
This record from the Alexandria database describes a relaxed structure of Li2MnB6. The functional is PBE.

The value obtained for the total moment is 2.1 Bohr magnetons per cell. The calculation puts the formation energy at 8.28 kJ per mole of atoms. The value obtained for the total energy is -5.81 eV per atom.

The structure belongs to space group C2/m (No. 12); the cell edges are 8.315, 4.446 and 3.830 Å and the angles 90.00°, 102.50° and 90.00°. Symmetry generates all atoms from Li at (0.155, 0.000, 0.085), Mn at (0.000, 0.500, 0.000), B at (0.106, 0.295, 0.562) and B at (0.237, 0.500, 0.349).

=====

3.
This record from the Alexandria database describes a relaxed structure of LiMn2B6. The functional is PBE.

The value obtained for the total moment is 3.3 Bohr magnetons per cell. The calculation puts the formation energy at -27.18 kJ per mole of atoms. The value obtained for the total energy is -6.98 eV per atom.

The structure belongs to space group P6/mmm (No. 191); the cell edges are 5.1401, 5.1401 and 2.9804 Å and the angles 90.00°, 90.00° and 120.00°. Symmetry generates all atoms from Li at (0.0000, 0.0000, 0.0000), Mn at (0.3333, 0.6667, 0.0000) and B at (0.0000, 0.3340, 0.5000).